(1)
The following is a DFT calculation (GGA-PBE) of a geometry-optimized ZrScCu2 structure. Values from VASP.

Quantum ESPRESSO input file:
```
&SYSTEM
  ibrav = 0, nat = 8, ntyp = 3
/
ATOMIC_SPECIES
Sc 44.96 Sc.upf
Cu 63.55 Cu.upf
Zr 91.22 Zr.upf
CELL_PARAMETERS angstrom
-4.9597 -1.1395 -5.2527
5.1261 -3.1520 -4.1564
-0.5210 -4.5758 -3.6069
ATOMIC_POSITIONS angstrom
Sc 0.0832 -2.1457 -4.7045
Sc 2.3442 -4.9368 -6.2339
Cu -2.5755 -2.2470 -4.6896
Cu 2.4398 -3.2596 -4.1706
Cu -0.3141 -5.0499 -6.2451
Cu -0.2594 -7.1782 -10.9265
Zr 0.0000 0.0000 0.0000
Zr -2.6987 -3.9305 -6.7820
```

Calculated values
Formation energy from the elements ... 256 meV per atom
Calculated volume ... 146.2 Å³ per cell
Energy ... -44.1 eV/cell
Space-group type ... I-42d (122)
D(E_F) ... 0.98 states/eV per atom
Spin magnetization ... 0.00 μB/cell

(2)
The following is a DFT calculation (GGA-PBE) of a geometry-optimized Sb2RuPt structure. Values from VASP.

Quantum ESPRESSO input file:
```
&SYSTEM
  ibrav = 0, nat = 4, ntyp = 3
/
ATOMIC_SPECIES
Pt 195.08 Pt.upf
Ru 101.07 Ru.upf
Sb 121.76 Sb.upf
CELL_PARAMETERS angstrom
-1.3153 -3.4005 -0.8935
-0.3896 -0.8071 3.6454
-5.0968 1.9983 -0.1023
ATOMIC_POSITIONS angstrom
Pt -2.2902 0.8979 -0.0460
Ru -4.9395 -0.5014 1.2939
Sb -4.7701 1.8702 -0.0958
Sb -2.4471 -1.4786 1.3439
```

Calculated values
Calculated volume ... 77.2 Å³ per cell
Energy ... -24.1 eV/cell
Space-group type ... P4mm (99)
D(E_F) ... 0.21 states/eV per atom
Spin magnetization ... 0.00 μB/cell

(3)
The following is a DFT calculation (GGA-PBE) of a geometry-optimized Pb2SeCl structure. Values from VASP.

Quantum ESPRESSO input file:
```
&SYSTEM
  ibrav = 0, nat = 4, ntyp = 3
/
ATOMIC_SPECIES
Cl 35.45 Cl.upf
Pb 207.20 Pb.upf
Se 78.96 Se.upf
CELL_PARAMETERS angstrom
-2.1826 3.9375 2.8401
-2.9490 -1.1278 4.2855
1.8455 1.1098 4.8679
ATOMIC_POSITIONS angstrom
Cl -1.6431 1.9598 5.9967
Pb 0.0000 0.0000 0.0000
Pb -0.8215 0.9799 2.9984
Se -2.4646 2.9396 8.9951
```

Calculated values
Calculated volume ... 106.6 Å³ per cell
Energy ... -13.2 eV/cell
Space-group type ... F-43m (216)
D(E_F) ... 0.90 states/eV per atom
Spin magnetization ... 0.00 μB/cell

(4)
The following is a DFT calculation (GGA-PBE) of a geometry-optimized TbNd7Tm4 structure. Values from VASP.

Quantum ESPRESSO input file:
```
&SYSTEM
  ibrav = 0, nat = 12, ntyp = 3
/
ATOMIC_SPECIES
Tb 158.93 Tb.upf
Nd 144.24 Nd.upf
Tm 168.93 Tm.upf
CELL_PARAMETERS angstrom
-1.4353 -1.8643 -5.5130
4.4545 -8.4698 -1.5540
-4.7108 -7.1859 0.3980
ATOMIC_POSITIONS angstrom
Tb 0.0000 0.0000 0.0000
Nd 0.2842 -12.8550 -5.5025
Nd -1.9758 -4.6650 -1.1666
Nd 1.0061 -6.7996 -1.2211
Nd -2.6977 -10.7204 -5.4480
Nd -0.7750 -12.6384 -2.0414
Nd -0.7176 -0.9322 -2.7565
Nd -0.9166 -4.8816 -4.6277
Tm -2.1227 -7.6412 -3.3804
Tm 0.4311 -9.8788 -3.2886
Tm 1.6304 -6.8129 -4.6377
Tm -3.3220 -10.7071 -2.0314
```

Calculated values
Formation energy from the elements ... 214 meV per atom
Calculated volume ... 407.0 Å³ per cell
Energy ... -53.3 eV/cell
Space-group type ... C2/m (12)
D(E_F) ... 1.60 states/eV per atom
Spin magnetization ... 0.14 μB/cell

(5)
The following is a DFT calculation (GGA-PBE) of a geometry-optimized TmTh2Au4 structure. Values from VASP.

Quantum ESPRESSO input file:
```
&SYSTEM
  ibrav = 0, nat = 7, ntyp = 3
/
ATOMIC_SPECIES
Tm 168.93 Tm.upf
Th 232.04 Th.upf
Au 196.97 Au.upf
CELL_PARAMETERS angstrom
4.9926 0.0000 -1.5915
-0.5073 4.9667 -1.5915
-0.3463 -0.3835 7.5403
ATOMIC_POSITIONS angstrom
Tm 0.0000 0.0000 0.0000
Th 3.0592 3.3876 0.9703
Th 1.0797 1.1956 3.3871
Au 1.2256 4.1214 3.8448
Au 3.9755 1.6380 3.8448
Au 2.9134 0.4618 0.5126
Au 0.1634 2.9452 0.5126
```

Calculated values
Formation energy from the elements ... -569 meV per atom
Calculated volume ... 180.9 Å³ per cell
Energy ... -36.4 eV/cell
Space-group type ... I4/mmm (139)
D(E_F) ... 0.77 states/eV per atom
Spin magnetization ... 0.00 μB/cell

(6)
The following is a DFT calculation (GGA-PBE) of a geometry-optimized AgAs2Rh structure. Values from VASP.

Quantum ESPRESSO input file:
```
&SYSTEM
  ibrav = 0, nat = 4, ntyp = 3
/
ATOMIC_SPECIES
As 74.92 As.upf
Rh 102.91 Rh.upf
Ag 107.87 Ag.upf
CELL_PARAMETERS angstrom
5.1582 0.0003 0.0000
2.1680 4.6805 0.0000
-3.6631 -2.3404 2.7769
ATOMIC_POSITIONS angstrom
As 0.0000 0.0000 0.0000
As 1.0840 2.3402 1.3885
Rh 3.6631 2.3404 0.0000
Ag 2.5791 0.0002 1.3885
```

Calculated values
Formation energy from the elements ... 135 meV per atom
Calculated volume ... 67.0 Å³ per cell
Energy ... -19.0 eV/cell
Space-group type ... I-4m2 (119)
D(E_F) ... 0.54 states/eV per atom
Spin magnetization ... 0.00 μB/cell

> The lowest energy belongs to which entry?

TbNd7Tm4

> Which formula does entry 2 have?

Sb2RuPt